1.
! AlPb2Se, relaxed, DFT PBE-GGA; values from VASP
! symmetry	Cmm2 (35)
! relative energy among the computed polymorphs	172.3	meV/atom
&SYSTEM
  ibrav = 0, nat = 8, ntyp = 3
/
ATOMIC_SPECIES
Al 26.98 Al.upf
Pb 207.20 Pb.upf
Se 78.96 Se.upf
CELL_PARAMETERS angstrom
3.738 0.000 0.000
0.000 6.187 0.000
0.000 0.000 9.470
ATOMIC_POSITIONS crystal
Al 0.000 0.000 0.000
Al 0.500 0.500 0.000
Pb 0.000 0.000 0.446
Pb 0.000 0.500 0.746
Pb 0.500 0.000 0.746
Pb 0.500 0.500 0.446
Se 0.000 0.500 0.162
Se 0.500 0.000 0.162


2.
! AlPbSe, relaxed, DFT PBE-GGA; values from VASP
! symmetry	P-1 (2)
! relative energy among the computed polymorphs	0.0	meV/atom
&SYSTEM
  ibrav = 0, nat = 6, ntyp = 3
/
ATOMIC_SPECIES
Al 26.98 Al.upf
Pb 207.20 Pb.upf
Se 78.96 Se.upf
CELL_PARAMETERS angstrom
3.671 0.000 0.000
-0.230 6.256 0.000
-1.692 -1.485 7.330
ATOMIC_POSITIONS crystal
Al 0.154 0.445 0.314
Al 0.846 0.555 0.686
Pb 0.188 0.267 0.930
Pb 0.812 0.733 0.070
Se 0.309 0.764 0.581
Se 0.691 0.236 0.419


3.
! AlPb2Se, relaxed, DFT PBE-GGA; values from VASP
! symmetry	R3m (160)
! relative energy among the computed polymorphs	0.0	meV/atom
&SYSTEM
  ibrav = 0, nat = 12, ntyp = 3
/
ATOMIC_SPECIES
Al 26.98 Al.upf
Pb 207.20 Pb.upf
Se 78.96 Se.upf
CELL_PARAMETERS angstrom
3.720 0.000 0.000
-1.860 3.222 0.000
0.000 0.000 27.845
ATOMIC_POSITIONS crystal
Al 0.000 0.000 0.000
Al 0.333 0.667 0.667
Al 0.667 0.333 0.333
Pb 0.000 0.000 0.505
Pb 0.000 0.000 0.748
Pb 0.333 0.667 0.172
Pb 0.333 0.667 0.414
Pb 0.667 0.333 0.081
Pb 0.667 0.333 0.839
Se 0.000 0.000 0.288
Se 0.333 0.667 0.955
Se 0.667 0.333 0.622


4.
! AlPb2Se, relaxed, DFT PBE-GGA; values from VASP
! symmetry	R-3m (166)
! relative energy among the computed polymorphs	267.9	meV/atom
&SYSTEM
  ibrav = 0, nat = 12, ntyp = 3
/
ATOMIC_SPECIES
Al 26.98 Al.upf
Pb 207.20 Pb.upf
Se 78.96 Se.upf
CELL_PARAMETERS angstrom
4.013 0.000 0.000
-2.006 3.475 0.000
0.000 0.000 23.961
ATOMIC_POSITIONS crystal
Al 0.000 0.000 0.000
Al 0.333 0.667 0.667
Al 0.667 0.333 0.333
Pb 0.000 0.000 0.249
Pb 0.000 0.000 0.751
Pb 0.333 0.667 0.418
Pb 0.333 0.667 0.916
Pb 0.667 0.333 0.084
Pb 0.667 0.333 0.582
Se 0.000 0.000 0.500
Se 0.333 0.667 0.167
Se 0.667 0.333 0.833


5.
! AlPbSe, relaxed, DFT PBE-GGA; values from VASP
! symmetry	F-43m (216)
! relative energy among the computed polymorphs	482.2	meV/atom
&SYSTEM
  ibrav = 0, nat = 12, ntyp = 3
/
ATOMIC_SPECIES
Al 26.98 Al.upf
Pb 207.20 Pb.upf
Se 78.96 Se.upf
CELL_PARAMETERS angstrom
6.853 0.000 0.000
0.000 6.853 0.000
0.000 0.000 6.853
ATOMIC_POSITIONS crystal
Al 0.000 0.000 0.000
Al 0.000 0.500 0.500
Al 0.500 0.000 0.500
Al 0.500 0.500 0.000
Pb 0.250 0.250 0.250
Pb 0.250 0.750 0.750
Pb 0.750 0.250 0.750
Pb 0.750 0.750 0.250
Se 0.250 0.250 0.750
Se 0.250 0.750 0.250
Se 0.750 0.250 0.250
Se 0.750 0.750 0.750


6.
! AlPb2Se, relaxed, DFT PBE-GGA; values from VASP
! symmetry	Imm2 (44)
! relative energy among the computed polymorphs	157.3	meV/atom
&SYSTEM
  ibrav = 0, nat = 8, ntyp = 3
/
ATOMIC_SPECIES
Al 26.98 Al.upf
Pb 207.20 Pb.upf
Se 78.96 Se.upf
CELL_PARAMETERS angstrom
3.636 0.000 0.000
0.000 5.750 0.000
0.000 0.000 10.168
ATOMIC_POSITIONS crystal
Al 0.000 0.000 0.000
Al 0.500 0.500 0.500
Pb 0.000 0.000 0.530
Pb 0.000 0.500 0.738
Pb 0.500 0.000 0.238
Pb 0.500 0.500 0.030
Se 0.000 0.500 0.334
Se 0.500 0.000 0.834


7.
! AlPb2Se, relaxed, DFT PBE-GGA; values from VASP
! symmetry	I-4m2 (119)
! relative energy among the computed polymorphs	302.6	meV/atom
&SYSTEM
  ibrav = 0, nat = 8, ntyp = 3
/
ATOMIC_SPECIES
Al 26.98 Al.upf
Pb 207.20 Pb.upf
Se 78.96 Se.upf
CELL_PARAMETERS angstrom
4.400 0.000 0.000
0.000 4.400 0.000
0.000 0.000 11.157
ATOMIC_POSITIONS crystal
Al 0.000 0.000 0.000
Al 0.500 0.500 0.500
Pb 0.000 0.000 0.500
Pb 0.000 0.500 0.750
Pb 0.500 0.000 0.250
Pb 0.500 0.500 0.000
Se 0.000 0.500 0.250
Se 0.500 0.000 0.750


8.
! AlPbSe4, relaxed, DFT PBE-GGA; values from VASP
! symmetry	F-43m (216)
&SYSTEM
  ibrav = 0, nat = 6, ntyp = 3
/
ATOMIC_SPECIES
Al 26.98 Al.upf
Pb 207.20 Pb.upf
Se 78.96 Se.upf
CELL_PARAMETERS angstrom
0.000 4.156 4.156
4.156 0.000 4.156
4.156 4.156 0.000
ATOMIC_POSITIONS crystal
Al 0.000 0.000 0.000
Pb 0.750 0.750 0.750
Se 0.374 0.374 0.374
Se 0.374 0.374 0.877
Se 0.374 0.877 0.374
Se 0.877 0.374 0.374


Raw formation energy in eV per atom, matching the order above: -0.06; -0.32; -0.23; 0.03; 0.16; -0.08; 0.07; 0.37
Magnetic moment in μB per cell, matching the order above: 0.00; 0.00; 0.00; 0.00; 0.00; 0.00; 0.00; 0.00